Compound: CoRePt2
Source: Alexandria
Functional: GGA-PBE
Structure: relaxed

E = -7.8933 eV per atom
relative energy among the computed polymorphs = 102 meV per atom

a = 4.7129 Å, b = 4.7129 Å, c = 4.7064 Å
α = 80.45°, β = 80.45°, γ = 33.65°
With the nearest neighbours (Å) after each atom.
Element x y z (fractional)
Co 0.7500 0.7500 0.7500  6 Pt 2.71-2.73, 4 Re 2.72, 2 Co 2.73
Pt 0.0015 0.0015 0.9990  3 Re 2.71-2.73, 3 Co 2.71-2.73, 6 Pt 2.72-2.73
Pt 0.4985 0.4985 0.5010  3 Re 2.71-2.73, 3 Co 2.71-2.73, 6 Pt 2.72-2.73
Re 0.2500 0.2500 0.2500  6 Pt 2.71-2.73, 4 Co 2.72, 2 Re 2.73

***

Compound: CoRePt
Source: Alexandria
Functional: GGA-PBE
Structure: relaxed

E = -8.5423 eV per atom
relative energy among the computed polymorphs = 72 meV per atom

a = 5.1112 Å, b = 4.6811 Å, c = 8.1387 Å
α = 90.00°, β = 122.64°, γ = 90.00°
With the nearest neighbours (Å) after each atom.
Element x y z (fractional)
Re 0.0000 0.2757 0.0000  4 Pt 2.65-2.68, 2 Re 2.67, 6 Co 2.69-2.73
Re 0.0000 0.7757 0.5000  4 Pt 2.65-2.68, 2 Re 2.67, 6 Co 2.69-2.73
Re 0.5000 0.6093 0.5000  4 Co 2.64-2.65, 6 Pt 2.66-2.73, 2 Re 2.67
Re 0.5000 0.1093 0.0000  4 Co 2.64-2.65, 6 Pt 2.66-2.73, 2 Re 2.67
Co 0.9985 0.2804 0.3310  4 Pt 2.64-2.67, 5 Re 2.64-2.73, 3 Co 2.69-2.74
Co 0.0015 0.2804 0.6690  4 Pt 2.64-2.67, 5 Re 2.64-2.73, 3 Co 2.69-2.74
Co 0.9985 0.7804 0.8310  4 Pt 2.64-2.67, 5 Re 2.64-2.73, 3 Co 2.69-2.74
Co 0.0015 0.7804 0.1690  4 Pt 2.64-2.67, 5 Re 2.64-2.73, 3 Co 2.69-2.74
Pt 0.4984 0.6174 0.1638  4 Co 2.64-2.67, 5 Re 2.65-2.73, 3 Pt 2.67-2.72
Pt 0.5016 0.6174 0.8362  4 Co 2.64-2.67, 5 Re 2.65-2.73, 3 Pt 2.67-2.72
Pt 0.4984 0.1174 0.6638  4 Co 2.64-2.67, 5 Re 2.65-2.73, 3 Pt 2.67-2.72
Pt 0.5016 0.1174 0.3362  4 Co 2.64-2.67, 5 Re 2.65-2.73, 3 Pt 2.67-2.72

***

Compound: CoRePt2
Source: Alexandria
Functional: GGA-PBE
Structure: relaxed

E = -7.9478 eV per atom
relative energy among the computed polymorphs = 48 meV per atom

a = 9.0064 Å, b = 9.0064 Å, c = 9.0064 Å
α = 17.47°, β = 17.47°, γ = 17.47°
With the nearest neighbours (Å) after each atom.
Element x y z (fractional)
Co 0.7530 0.7530 0.7530  3 Re 2.54, 3 Pt 2.67, 6 Co 2.74
Pt 0.0053 0.0053 0.0053  3 Co 2.67, 9 Pt 2.74-2.90
Pt 0.2471 0.2471 0.2471  9 Pt 2.74-2.90, 3 Re 2.78
Re 0.4946 0.4946 0.4946  3 Co 2.54, 6 Re 2.74, 3 Pt 2.78